The following is a DFT calculation (PBE) of an optimized crystal structure of FeCuHgGe.

## Properties
E above lowest polymorph   0.0 kJ/mol of atoms
Energy   -0.1427 hartree per atom
SG   F-43m (216)

Cell lengths 6.2939, 6.2939, 6.2939 Å; angles 90.00, 90.00, 90.00 degrees
Last column: nearest neighbours and their distance in Å.
Element x y z (fractional)
Fe 0.0000 0.0000 0.0000  4 Hg 2.73, 4 Ge 2.73
Fe 0.0000 0.5000 0.5000  4 Hg 2.73, 4 Ge 2.73
Fe 0.5000 0.0000 0.5000  4 Hg 2.73, 4 Ge 2.73
Fe 0.5000 0.5000 0.0000  4 Hg 2.73, 4 Ge 2.73
Cu 0.0000 0.0000 0.5000  4 Ge 2.73, 4 Hg 2.73
Cu 0.0000 0.5000 0.0000  4 Ge 2.73, 4 Hg 2.73
Cu 0.5000 0.0000 0.0000  4 Ge 2.73, 4 Hg 2.73
Cu 0.5000 0.5000 0.5000  4 Ge 2.73, 4 Hg 2.73
Hg 0.2500 0.2500 0.7500  4 Cu 2.73, 4 Fe 2.73
Hg 0.2500 0.7500 0.2500  4 Cu 2.73, 4 Fe 2.73
Hg 0.7500 0.2500 0.2500  4 Cu 2.73, 4 Fe 2.73
Hg 0.7500 0.7500 0.7500  4 Cu 2.73, 4 Fe 2.73
Ge 0.2500 0.2500 0.2500  4 Fe 2.73, 4 Cu 2.73
Ge 0.2500 0.7500 0.7500  4 Fe 2.73, 4 Cu 2.73
Ge 0.7500 0.2500 0.7500  4 Fe 2.73, 4 Cu 2.73
Ge 0.7500 0.7500 0.2500  4 Fe 2.73, 4 Cu 2.73

---

The following is a DFT calculation (PBE) of an optimized crystal structure of Sc2Ta4Ni3N3.

## Properties
Energy   -0.3412 hartree per atom
SG   C2/c (15)

Cell lengths 5.3315, 5.3315, 13.5129 Å; angles 101.60, 101.60, 60.00 degrees
Last column: nearest neighbours and their distance in Å.
Element x y z (fractional)
Sc 0.0404 0.8759 0.6182  3 N 2.32-2.37
Sc 0.1241 0.9596 0.8818  3 N 2.32-2.37
Sc 0.8759 0.0404 0.1182  3 N 2.32-2.37
Sc 0.9596 0.1241 0.3818  3 N 2.32-2.37
Ta 0.1942 0.3593 0.0893  3 N 2.11-2.20
Ta 0.2982 0.4770 0.4108  3 N 2.11-2.20
Ta 0.3593 0.1942 0.5893  3 N 2.11-2.20
Ta 0.4770 0.2982 0.9108  3 N 2.11-2.20
Ta 0.5230 0.7018 0.0892  3 N 2.11-2.20
Ta 0.6407 0.8058 0.4107  3 N 2.11-2.20
Ta 0.7018 0.5230 0.5892  3 N 2.11-2.20
Ta 0.8058 0.6407 0.9107  3 N 2.11-2.20
Ni 0.0856 0.3982 0.7507  4 Ta 2.61-2.62, 4 Ni 2.66-2.68
Ni 0.3982 0.0856 0.2507  4 Ta 2.61-2.62, 4 Ni 2.66-2.68
Ni 0.4275 0.5725 0.2500  4 Ta 2.62-2.63, 4 Ni 2.66-2.68
Ni 0.5725 0.4275 0.7500  4 Ta 2.62-2.63, 4 Ni 2.66-2.68
Ni 0.6018 0.9144 0.7493  4 Ta 2.61-2.62, 4 Ni 2.66-2.68
Ni 0.9144 0.6018 0.2493  4 Ta 2.61-2.62, 4 Ni 2.66-2.68
N 0.0000 0.5000 0.5000  4 Ta 2.12-2.13, 2 Sc 2.37
N 0.1603 0.6798 0.0000  4 Ta 2.11-2.20, 2 Sc 2.32
N 0.3202 0.8397 0.5000  4 Ta 2.11-2.20, 2 Sc 2.32
N 0.5000 0.0000 0.0000  4 Ta 2.12-2.13, 2 Sc 2.37
N 0.6798 0.1603 0.5000  4 Ta 2.11-2.20, 2 Sc 2.32
N 0.8397 0.3202 0.0000  4 Ta 2.11-2.20, 2 Sc 2.32

---

The following is a DFT calculation (PBE) of an optimized crystal structure of DyB2.

## Properties
E above lowest polymorph   330.3 kJ/mol of atoms
Energy   -0.1148 hartree per atom
SG   Fd-3m (227)

Cell lengths 8.3012, 8.3012, 8.3012 Å; angles 60.00, 60.00, 60.00 degrees
Last column: nearest neighbours and their distance in Å.
Element x y z (fractional)
Dy 0.1250 0.1250 0.1250  4 B 2.54
Dy 0.8750 0.8750 0.8750  4 B 2.54
B 0.0000 0.0000 0.0000  2 Dy 2.54
B 0.0000 0.0000 0.5000  2 Dy 2.54
B 0.0000 0.5000 0.0000  2 Dy 2.54
B 0.5000 0.0000 0.0000  2 Dy 2.54

---

The following is a DFT calculation (PBE) of an optimized crystal structure of CdIr.

## Properties
Energy   -0.1716 hartree per atom
Energy of formation from the pure elements   39.8 kJ/mol of formula units
SG   P-6m2 (187)

Cell lengths 2.8800, 2.8800, 4.6518 Å; angles 90.00, 90.00, 120.00 degrees
Last column: nearest neighbours and their distance in Å.
Element x y z (fractional)
Cd 0.0000 0.0000 0.0000  6 Ir 2.86, 6 Cd 2.88
Ir 0.6667 0.3333 0.5000  6 Cd 2.86, 6 Ir 2.88

---

The following is a DFT calculation (PBE) of an optimized crystal structure of PmBeAs.

## Properties
Energy   -0.1581 hartree per atom
SG   F-43m (216)

Cell lengths 6.6886, 6.6886, 6.6886 Å; angles 90.00, 90.00, 90.00 degrees
Last column: nearest neighbours and their distance in Å.
Element x y z (fractional)
Pm 0.0000 0.0000 0.0000  4 Be 2.90, 4 As 2.90
Pm 0.0000 0.5000 0.5000  4 Be 2.90, 4 As 2.90
Pm 0.5000 0.0000 0.5000  4 Be 2.90, 4 As 2.90
Pm 0.5000 0.5000 0.0000  4 Be 2.90, 4 As 2.90
Be 0.2500 0.2500 0.2500  4 Pm 2.90
Be 0.2500 0.7500 0.7500  4 Pm 2.90
Be 0.7500 0.2500 0.7500  4 Pm 2.90
Be 0.7500 0.7500 0.2500  4 Pm 2.90
As 0.2500 0.2500 0.7500  4 Pm 2.90
As 0.2500 0.7500 0.2500  4 Pm 2.90
As 0.7500 0.2500 0.2500  4 Pm 2.90
As 0.7500 0.7500 0.7500  4 Pm 2.90

---

The following is a DFT calculation (PBE) of an optimized crystal structure of TlSnAuSe2S.

## Properties
Energy   -0.1357 hartree per atom
SG   Cmcm (63)

Cell lengths 7.1983, 7.1983, 10.9665 Å; angles 90.00, 90.00, 147.74 degrees
Last column: nearest neighbours and their distance in Å.
Element x y z (fractional)
Tl 0.1971 0.8029 0.7500  2 S 3.07, 2 Au 3.10, 2 Se 3.11
Tl 0.8029 0.1971 0.2500  2 S 3.07, 2 Au 3.10, 2 Se 3.11
Sn 0.5000 0.5000 0.0000  2 S 2.77, 4 Se 2.80
Sn 0.5000 0.5000 0.5000  2 S 2.77, 4 Se 2.80
Au 0.1317 0.8683 0.2500  2 Se 2.48
Au 0.8683 0.1317 0.7500  2 Se 2.48
Se 0.1400 0.8600 0.0244  1 Au 2.48
Se 0.1400 0.8600 0.4756  1 Au 2.48
Se 0.8600 0.1400 0.5244  1 Au 2.48
Se 0.8600 0.1400 0.9756  1 Au 2.48
S 0.4708 0.5292 0.2500  2 Sn 2.77, 2 Au 2.99, 2 Tl 3.07
S 0.5292 0.4708 0.7500  2 Sn 2.77, 2 Au 2.99, 2 Tl 3.07